[1]
## FePtCl (PBE)

Data for crystalline FePtCl at its relaxed geometry.

Properties
energy above the lowest structure with this stoichiometry: 1.487 eV/f.u.
total energy: -4.98 eV/atom
E_form (uncorrected): 136 kJ/mol of formula units

Cell lengths 4.2440, 4.2440, 4.2440 Å; angles 60.00, 60.00, 60.00 degrees
Last column: nearest neighbours and their distance in Å.
Fractional positions:
Pt  0.0000  0.0000  0.0000  4 Fe 2.60
Cl  0.5000  0.5000  0.5000  4 Fe 2.60
Fe  0.2500  0.2500  0.2500  4 Pt 2.60, 4 Cl 2.60

***

[2]
## FePtCl2 (PBE)

Data for crystalline FePtCl2 at its relaxed geometry.

Properties
energy above the lowest structure with this stoichiometry: 3.065 eV/f.u.
total energy: -3.99 eV/atom
E_form (uncorrected): 214 kJ/mol of formula units

Cell lengths 4.5551, 4.5551, 4.5551 Å; angles 60.00, 60.00, 60.00 degrees
Last column: nearest neighbours and their distance in Å.
Fractional positions:
Cl  0.7500  0.7500  0.7500  4 Fe 2.79, 4 Pt 2.79
Cl  0.2500  0.2500  0.2500  4 Pt 2.79, 4 Fe 2.79
Fe  0.0000  0.0000  0.0000  8 Cl 2.79
Pt  0.5000  0.5000  0.5000  8 Cl 2.79